# MoRh2Se

A relaxed MoRh2Se crystal (PBE-GGA, Alexandria via LeMat-Bulk).

## Properties
- Total magnetization: 0.0 μB/f.u.
- Formation energy (no corrections): 0.04 eV per atom

Structure (CIF):
```
data_MoRh2Se
_space_group_name_H-M_alt 'C 1 2/m 1'
_space_group_IT_number 12
_cell_length_a 9.2734
_cell_length_b 2.9392
_cell_length_c 4.5141
_cell_angle_alpha 90.00
_cell_angle_beta 93.01
_cell_angle_gamma 90.00
loop_
_space_group_symop_operation_xyz
'x,y,z'
'-x,-y,-z'
'-x,y,-z'
'x,-y,z'
'x+1/2,y+1/2,z'
'-x+1/2,-y+1/2,-z'
'-x+1/2,y+1/2,-z'
'x+1/2,-y+1/2,z'
loop_
_atom_site_label
_atom_site_fract_x
_atom_site_fract_y
_atom_site_fract_z
Mo1 0.0000 0.0000 0.0000
Rh1 0.2308 0.5000 0.2388
Se1 0.0000 0.5000 0.5000
```